Entry 1:
DFT (PBEsol) results for crystalline Tl2Mo3SeO12 at its relaxed geometry.

Lattice parameters (Å, degrees): 7.263 7.263 11.837 90.00 90.00 120.00
Sites, in units of the cell vectors:
Tl (0.333, 0.667, 0.744)
Mo (0.865, 0.204, 0.566)
O (0.127, 0.249, 0.239)
O (0.549, 0.088, 0.614)
O (0.249, 0.127, 0.739)
O (0.200, 0.407, 0.927)
O (0.088, 0.549, 0.114)
Tl (0.333, 0.667, 0.331)
O (0.407, 0.200, 0.427)
O (0.873, 0.122, 0.739)
O (0.881, 0.752, 0.053)
O (0.539, 0.451, 0.614)
Mo (0.339, 0.135, 0.566)
Mo (0.204, 0.865, 0.066)
Tl (0.667, 0.333, 0.831)
Se (0.000, 0.000, 0.802)
Se (0.000, 0.000, 0.302)
O (0.878, 0.751, 0.739)
O (0.800, 0.207, 0.427)
O (0.207, 0.800, 0.927)
O (0.751, 0.878, 0.239)
O (0.122, 0.873, 0.239)
O (0.871, 0.119, 0.053)
Mo (0.661, 0.796, 0.066)
O (0.752, 0.881, 0.553)
Mo (0.796, 0.661, 0.566)
O (0.793, 0.593, 0.427)
O (0.129, 0.248, 0.553)
O (0.593, 0.793, 0.927)
O (0.451, 0.539, 0.114)
O (0.248, 0.129, 0.053)
O (0.461, 0.912, 0.114)
Mo (0.135, 0.339, 0.066)
Tl (0.667, 0.333, 0.244)
O (0.119, 0.871, 0.553)
O (0.912, 0.461, 0.614)

The value obtained for the formation energy from raw total energies is -1614 meV/atom. The uncorrected energy is -7.5811 eV/atom. As for the symmetry: P31c, No. 159. The value obtained for the volume is 15.02 Å³/atom.

Entry 2:
DFT (PBEsol) results for crystalline YMoSeO2 at its relaxed geometry.

Lattice parameters (Å, degrees): 4.116 4.116 4.779 90.00 90.00 90.00
Each line ends with the local moment (μB).
Sites, in units of the cell vectors:
O (0.000, 0.500, 0.000)  0.13
Mo (0.000, 0.000, 0.500)  1.36
Se (0.000, 0.000, 0.000)  -0.03
O (0.500, 0.000, 0.000)  0.13
Y (0.500, 0.500, 0.500)  0.04

The value obtained for the formation energy from raw total energies is 94 meV/atom. The uncorrected energy is -6.4935 eV/atom. As for the symmetry: P4/mmm, No. 123. The value obtained for the volume is 16.19 Å³/atom.

Entry 3:
DFT (PBEsol) results for crystalline Si3Mo2O12 at its relaxed geometry.

Lattice parameters (Å, degrees): 10.252 10.252 10.252 109.47 109.47 109.47
Sites, in units of the cell vectors:
Si (0.750, 0.125, 0.375)
O (0.105, 0.416, 0.108)
O (0.605, 0.497, 0.690)
O (0.895, 0.310, 0.503)
O (0.605, 0.108, 0.416)
O (0.997, 0.105, 0.190)
O (0.690, 0.692, 0.584)
O (0.308, 0.392, 0.997)
Si (0.125, 0.250, 0.375)
Si (0.125, 0.875, 0.250)
O (0.392, 0.895, 0.084)
O (0.084, 0.395, 0.392)
O (0.497, 0.190, 0.105)
Si (0.375, 0.750, 0.125)
O (0.503, 0.810, 0.895)
O (0.810, 0.395, 0.003)
O (0.108, 0.192, 0.503)
O (0.308, 0.916, 0.810)
O (0.497, 0.308, 0.892)
O (0.395, 0.503, 0.310)
O (0.108, 0.916, 0.105)
O (0.692, 0.608, 0.003)
O (0.892, 0.808, 0.497)
O (0.003, 0.108, 0.692)
O (0.584, 0.192, 0.690)
O (0.690, 0.997, 0.605)
Mo (0.000, 0.000, 0.500)
O (0.416, 0.808, 0.310)
Si (0.875, 0.125, 0.750)
O (0.395, 0.892, 0.584)
O (0.190, 0.605, 0.997)
O (0.003, 0.895, 0.810)
Si (0.250, 0.375, 0.125)
O (0.416, 0.608, 0.605)
O (0.608, 0.105, 0.916)
Si (0.625, 0.250, 0.875)
Mo (0.500, 0.000, 0.000)
O (0.608, 0.503, 0.192)
O (0.503, 0.692, 0.108)
O (0.584, 0.392, 0.395)
O (0.310, 0.308, 0.416)
Mo (0.000, 0.500, 0.500)
Mo (0.500, 0.500, 0.000)
O (0.808, 0.810, 0.916)
Mo (0.000, 0.000, 0.000)
Mo (0.500, 0.500, 0.500)
O (0.895, 0.584, 0.892)
O (0.997, 0.892, 0.308)
O (0.916, 0.310, 0.808)
Si (0.750, 0.625, 0.875)
Si (0.875, 0.750, 0.625)
Si (0.625, 0.375, 0.250)
Mo (0.500, 0.000, 0.500)
Mo (0.000, 0.500, 0.000)
O (0.192, 0.003, 0.608)
O (0.392, 0.497, 0.808)
O (0.692, 0.084, 0.190)
O (0.892, 0.084, 0.895)
O (0.105, 0.690, 0.497)
O (0.190, 0.584, 0.692)
O (0.310, 0.003, 0.395)
O (0.916, 0.605, 0.608)
O (0.192, 0.190, 0.084)
Si (0.250, 0.875, 0.625)
O (0.084, 0.690, 0.192)
Si (0.375, 0.625, 0.750)
O (0.810, 0.416, 0.308)
O (0.808, 0.997, 0.392)

The value obtained for the formation energy from raw total energies is -2229 meV/atom. The uncorrected energy is -8.3328 eV/atom. As for the symmetry: Ia-3d, No. 230. The value obtained for the volume is 12.20 Å³/atom.

Entry 4:
DFT (PBEsol) results for crystalline Sm2Mo3O12 at its relaxed geometry.

Lattice parameters (Å, degrees): 6.879 6.879 11.415 100.69 100.69 112.53
Sites, in units of the cell vectors:
O (0.529, 0.447, 0.111)
Sm (0.197, 0.452, 0.408)
O (0.825, 0.894, 0.557)
O (0.871, 0.274, 0.461)
Sm (0.803, 0.548, 0.592)
Sm (0.452, 0.197, 0.908)
Mo (0.299, 0.014, 0.552)
O (0.488, 0.904, 0.781)
O (0.826, 0.401, 0.922)
Mo (0.986, 0.701, 0.948)
O (0.149, 0.292, 0.198)
O (0.274, 0.871, 0.961)
O (0.174, 0.599, 0.078)
Mo (0.619, 0.381, 0.250)
Sm (0.548, 0.803, 0.092)
O (0.708, 0.851, 0.302)
O (0.106, 0.175, 0.943)
O (0.175, 0.106, 0.443)
O (0.292, 0.149, 0.698)
O (0.471, 0.553, 0.889)
O (0.553, 0.471, 0.389)
O (0.851, 0.708, 0.802)
O (0.401, 0.826, 0.422)
Mo (0.381, 0.619, 0.750)
O (0.447, 0.529, 0.611)
O (0.904, 0.488, 0.281)
O (0.894, 0.825, 0.057)
Mo (0.014, 0.299, 0.052)
Mo (0.701, 0.986, 0.448)
O (0.129, 0.726, 0.539)
O (0.726, 0.129, 0.039)
O (0.599, 0.174, 0.578)
O (0.512, 0.096, 0.219)
O (0.096, 0.512, 0.719)

The value obtained for the formation energy from raw total energies is -2534 meV/atom. The uncorrected energy is -8.9154 eV/atom. As for the symmetry: C2/c, No. 15. The value obtained for the volume is 13.83 Å³/atom.

Entry 5:
DFT (PBEsol) results for crystalline Sm3MoO7 at its relaxed geometry.

Lattice parameters (Å, degrees): 7.467 7.470 10.619 90.00 90.00 90.00
Each line ends with the local moment (μB).
Sites, in units of the cell vectors:
O (0.503, 0.309, 0.012)  -0.01
Sm (0.495, 0.462, 0.781)  0.01
O (0.517, 0.246, 0.632)  0.00
O (0.701, 0.620, 0.650)  0.03
Sm (0.261, 0.286, 0.508)  0.00
O (0.215, 0.465, 0.879)  0.00
Sm (0.502, 0.444, 0.233)  0.00
O (0.715, 0.066, 0.873)  0.02
O (0.983, 0.754, 0.132)  0.00
O (0.785, 0.934, 0.373)  0.02
O (0.799, 0.380, 0.150)  0.03
O (0.997, 0.691, 0.512)  -0.01
O (0.785, 0.965, 0.621)  0.00
O (0.506, 0.709, 0.132)  0.00
Sm (0.239, 0.714, 0.008)  0.00
Mo (0.752, 0.254, 0.001)  0.28
Sm (0.505, 0.962, 0.719)  0.01
Sm (0.995, 0.038, 0.219)  0.01
O (0.483, 0.746, 0.868)  0.00
O (0.215, 0.434, 0.127)  0.02
O (0.285, 0.535, 0.379)  0.00
Mo (0.748, 0.746, 0.501)  0.28
Sm (0.498, 0.944, 0.267)  0.00
O (0.497, 0.809, 0.488)  -0.01
O (0.003, 0.191, 0.988)  -0.01
O (0.006, 0.791, 0.868)  0.00
Sm (0.005, 0.538, 0.281)  0.01
O (0.221, 0.954, 0.616)  0.00
O (0.299, 0.120, 0.850)  0.03
Mo (0.248, 0.754, 0.499)  0.28
Sm (0.998, 0.556, 0.733)  0.00
O (0.494, 0.209, 0.368)  0.00
O (0.017, 0.254, 0.368)  0.00
O (0.994, 0.291, 0.632)  0.00
O (0.715, 0.035, 0.121)  0.00
O (0.201, 0.880, 0.350)  0.03
O (0.279, 0.046, 0.116)  0.00
Sm (0.002, 0.056, 0.767)  0.00
Sm (0.739, 0.786, 0.992)  0.00
O (0.285, 0.566, 0.627)  0.02
O (0.721, 0.546, 0.384)  0.00
Mo (0.252, 0.246, 0.999)  0.28
O (0.779, 0.454, 0.884)  0.00
Sm (0.761, 0.214, 0.492)  0.00

The value obtained for the formation energy from raw total energies is -3062 meV/atom. The uncorrected energy is -8.8608 eV/atom. As for the symmetry: P2_12_12_1, No. 19. The value obtained for the volume is 13.46 Å³/atom.

Entry 6:
DFT (PBEsol) results for crystalline Sm2MoO6 at its relaxed geometry.

Lattice parameters (Å, degrees): 5.429 9.957 9.957 68.39 75.26 75.26
Sites, in units of the cell vectors:
O (0.421, 0.076, 0.108)
O (0.079, 0.892, 0.924)
O (0.134, 0.616, 0.173)
O (0.921, 0.108, 0.076)
O (0.634, 0.173, 0.616)
Sm (0.750, 0.110, 0.890)
Sm (0.382, 0.946, 0.712)
O (0.084, 0.163, 0.687)
Sm (0.118, 0.288, 0.054)
O (0.860, 0.214, 0.321)
O (0.916, 0.837, 0.313)
Sm (0.750, 0.633, 0.367)
Sm (0.250, 0.367, 0.633)
O (0.234, 0.068, 0.474)
O (0.579, 0.924, 0.892)
O (0.140, 0.786, 0.679)
Sm (0.250, 0.890, 0.110)
O (0.640, 0.679, 0.786)
O (0.266, 0.526, 0.932)
Sm (0.618, 0.054, 0.288)
O (0.018, 0.615, 0.547)
Mo (0.062, 0.797, 0.510)
O (0.584, 0.687, 0.163)
O (0.982, 0.385, 0.453)
Mo (0.562, 0.510, 0.797)
O (0.766, 0.932, 0.526)
O (0.866, 0.384, 0.827)
O (0.416, 0.313, 0.837)
O (0.734, 0.474, 0.068)
Mo (0.938, 0.203, 0.490)
Sm (0.882, 0.712, 0.946)
Mo (0.438, 0.490, 0.203)
O (0.482, 0.453, 0.385)
O (0.518, 0.547, 0.615)
O (0.360, 0.321, 0.214)
O (0.366, 0.827, 0.384)

The value obtained for the formation energy from raw total energies is -2952 meV/atom. The uncorrected energy is -8.8904 eV/atom. As for the symmetry: C2/c, No. 15. The value obtained for the volume is 13.22 Å³/atom.

Entry 7:
DFT (PBEsol) results for crystalline SnMoO2 at its relaxed geometry.

Lattice parameters (Å, degrees): 3.042 3.042 7.514 78.32 78.32 60.00
Sites, in units of the cell vectors:
Mo (0.000, 0.000, 0.000)
O (0.083, 0.083, 0.750)
O (0.917, 0.917, 0.250)
Sn (0.500, 0.500, 0.500)

The value obtained for the formation energy from raw total energies is -759 meV/atom. The uncorrected energy is -7.3904 eV/atom. As for the symmetry: R-3m, No. 166. The value obtained for the volume is 14.64 Å³/atom.

Entry 8:
DFT (PBEsol) results for crystalline SnMoO2 at its relaxed geometry.

Lattice parameters (Å, degrees): 3.252 3.252 6.893 76.35 76.35 60.00
Each line ends with the local moment (μB).
Sites, in units of the cell vectors:
O (0.880, 0.880, 0.360)  0.05
Sn (0.000, 0.000, 0.000)  0.00
Mo (0.500, 0.500, 0.500)  2.30
O (0.120, 0.120, 0.640)  0.05

The value obtained for the formation energy from raw total energies is -1071 meV/atom. The uncorrected energy is -7.7029 eV/atom. As for the symmetry: R-3m, No. 166. The value obtained for the volume is 15.19 Å³/atom.

Entry 9:
DFT (PBEsol) results for crystalline ZnSnMo2O at its relaxed geometry.

Lattice parameters (Å, degrees): 3.970 5.186 5.186 90.00 90.00 90.00
Each line ends with the local moment (μB).
Sites, in units of the cell vectors:
Mo (0.000, 0.000, 0.500)  2.46
O (0.500, 0.000, 0.000)  0.22
Zn (0.500, 0.500, 0.500)  0.00
Sn (0.000, 0.000, 0.000)  -0.02
Mo (0.000, 0.500, 0.000)  2.46

The value obtained for the formation energy from raw total energies is 1668 meV/atom. The uncorrected energy is -5.2572 eV/atom. As for the symmetry: P4/mmm, No. 123. The value obtained for the volume is 21.35 Å³/atom.

Entry 10:
DFT (PBEsol) results for crystalline SrMoO4 at its relaxed geometry.

Lattice parameters (Å, degrees): 5.381 5.381 7.065 112.39 112.39 90.00
Sites, in units of the cell vectors:
O (0.931, 0.529, 0.336)
O (0.193, 0.069, 0.664)
O (0.846, 0.943, 0.164)
O (0.471, 0.596, 0.664)
Sr (0.750, 0.250, 0.500)
Mo (0.000, 0.000, 0.000)
Sr (0.500, 0.500, 0.000)
O (0.319, 0.221, 0.164)
Mo (0.250, 0.750, 0.500)
O (0.779, 0.154, 0.836)
O (0.057, 0.681, 0.836)
O (0.404, 0.807, 0.336)

The value obtained for the formation energy from raw total energies is -2580 meV/atom. The uncorrected energy is -8.3475 eV/atom. As for the symmetry: I4_1/a, No. 88. The value obtained for the volume is 14.36 Å³/atom.

Entry 11:
DFT (PBEsol) results for crystalline SrMoO3 at its relaxed geometry.

Lattice parameters (Å, degrees): 5.585 5.586 5.586 89.99 120.00 120.00
Sites, in units of the cell vectors:
O (0.500, 0.256, 0.744)
O (0.011, 0.759, 0.759)
Mo (0.000, 0.500, 0.000)
Sr (0.500, 0.250, 0.250)
O (0.989, 0.241, 0.241)
Mo (0.000, 0.000, 0.500)
O (0.000, 0.253, 0.747)
Sr (0.500, 0.750, 0.750)
O (0.500, 0.744, 0.256)
O (0.000, 0.747, 0.253)

The value obtained for the formation energy from raw total energies is -2476 meV/atom. The uncorrected energy is -8.3468 eV/atom. As for the symmetry: C2/m, No. 12. The value obtained for the volume is 12.32 Å³/atom.

Entry 12:
DFT (PBEsol) results for crystalline Sr2MoO4 at its relaxed geometry.

Lattice parameters (Å, degrees): 3.874 3.874 6.986 106.10 106.10 90.00
Sites, in units of the cell vectors:
O (0.000, 0.500, 0.000)
O (0.500, 0.000, 0.000)
Sr (0.351, 0.351, 0.702)
O (0.837, 0.837, 0.673)
O (0.163, 0.163, 0.327)
Mo (0.000, 0.000, 0.000)
Sr (0.649, 0.649, 0.298)

The value obtained for the formation energy from raw total energies is -2559 meV/atom. The uncorrected energy is -7.7656 eV/atom. As for the symmetry: I4/mmm, No. 139. The value obtained for the volume is 13.78 Å³/atom.